No. 1
AcTb3NdHo: optimized geometry, PBE.

- energy of formation (eV per atom) = 0.2218
- total magnetization (μB per formula unit) = 0.0

```
AcTb3NdHo
1.0
10.136 -2.866 0.000
10.136 2.866 0.000
-0.015 0.000 7.287
Ac Tb Nd Ho
2 6 2 2
Cartesian
2.909 0.000 0.185
17.348 0.000 7.102
0.404 0.000 5.256
5.691 0.000 5.475
6.726 0.000 2.026
13.531 0.000 5.260
14.567 0.000 1.812
19.854 0.000 2.031
9.014 0.000 5.173
11.243 0.000 2.114
3.073 0.000 3.412
17.184 0.000 3.875
```

---

No. 2
AcTb6Nd3Ho2: optimized geometry, PBE.

- energy of formation (eV per atom) = 0.0256
- total magnetization (μB per formula unit) = 0.0

```
AcTb6Nd3Ho2
1.0
3.136 -5.429 0.000
3.136 5.429 0.000
-2.084 0.000 11.804
Ac Tb Nd Ho
1 6 3 2
Cartesian
0.000 0.000 0.000
1.059 1.826 2.959
0.022 0.000 8.842
1.059 -1.826 2.959
3.128 1.826 8.845
4.165 0.000 2.962
3.128 -1.826 8.845
2.094 3.615 5.902
2.094 0.000 5.902
2.094 -3.615 5.902
3.136 1.810 0.000
3.136 -1.810 0.000
```

---

No. 3
Ac2TbNdHo: optimized geometry, PBE.

- energy of formation (eV per atom) = 0.2686
- total magnetization (μB per formula unit) = 0.0

```
Ac2TbNdHo
1.0
6.456 0.000 0.000
0.000 8.979 0.000
0.000 0.000 6.722
Ac Tb Nd Ho
4 2 2 2
Cartesian
1.614 1.824 1.421
1.614 7.155 1.421
4.842 1.824 5.301
4.842 7.155 5.301
1.614 0.000 4.590
4.842 0.000 2.132
1.614 4.490 6.175
4.842 4.490 0.547
0.000 4.490 3.361
3.228 4.490 3.361
```

---

No. 4
AcTb2Nd5Ho: optimized geometry, PBE.

- energy of formation (eV per atom) = 0.1409
- total magnetization (μB per formula unit) = 0.0

```
AcTb2Nd5Ho
1.0
2.795 -12.273 0.000
2.795 12.273 0.000
0.000 0.000 9.507
Ac Tb Nd Ho
2 4 10 2
Cartesian
2.795 9.767 4.754
2.795 -9.767 0.000
2.795 4.256 7.138
2.795 2.757 3.365
2.795 -2.757 8.118
2.795 -4.256 2.385
2.795 11.680 7.854
2.795 9.665 0.987
2.795 7.593 7.559
2.795 6.343 4.140
2.795 0.240 5.768
2.795 -0.240 1.015
2.795 -6.343 8.893
2.795 -7.593 2.806
2.795 -9.665 5.740
2.795 -11.680 3.100
2.795 5.837 1.032
2.795 -5.837 5.785
```

---

DOS at the Fermi energy (states/eV/atom)
1.56 1.27 1.28 1.26